# 1
An optimized crystal structure of Be3In, computed with PBEsol.

abc: 5.8396 5.8396 5.8396
angles: 90.00 90.00 90.00
Fractional positions:
Be 0.0000 0.0000 0.0000
Be 0.0000 0.5000 0.5000
Be 0.2500 0.2500 0.2500
Be 0.2500 0.2500 0.7500
Be 0.2500 0.7500 0.2500
Be 0.2500 0.7500 0.7500
Be 0.5000 0.0000 0.5000
Be 0.5000 0.5000 0.0000
Be 0.7500 0.2500 0.2500
Be 0.7500 0.2500 0.7500
Be 0.7500 0.7500 0.2500
Be 0.7500 0.7500 0.7500
In 0.0000 0.0000 0.5000
In 0.0000 0.5000 0.0000
In 0.5000 0.0000 0.0000
In 0.5000 0.5000 0.5000

Calculated values
DOS at the Fermi energy (states/eV/cell): 7.146
Total moment (Bohr magnetons per cell): 0.0
Total DFT energy (no corrections) (eV for the cell shown): -49.1
Symmetry: No. 225


# 2
An optimized crystal structure of Sr2AgSCl, computed with PBEsol.

abc: 5.6937 5.6937 4.7446
angles: 90.00 90.00 90.00
Fractional positions:
Sr 0.0000 0.5000 0.0000
Sr 0.5000 0.0000 0.0000
Ag 0.0000 0.0000 0.5000
S 0.0000 0.0000 0.0000
Cl 0.5000 0.5000 0.5000

Calculated values
DOS at the Fermi energy (states/eV/cell): 3.959
Total moment (Bohr magnetons per cell): 0.0
Symmetry: No. 123
E_form (uncorrected) (eV per atom): -0.94


# 3
An optimized crystal structure of Ba2CdCoNi, computed with PBEsol.

abc: 6.2107 6.2107 4.6800
angles: 90.00 90.00 90.00
Fractional positions:
Ba 0.0000 0.5000 0.0000
Ba 0.5000 0.0000 0.0000
Cd 0.0000 0.0000 0.0000
Co 0.0000 0.0000 0.5000
Ni 0.5000 0.5000 0.5000

Calculated values
DOS at the Fermi energy (states/eV/cell): 9.493
Total moment (Bohr magnetons per cell): 1.4
Total DFT energy (no corrections) (eV for the cell shown): -14.5
Symmetry: No. 123


# 4
An optimized crystal structure of LiPt2W, computed with PBEsol.

abc: 3.8924 3.8924 3.7632
angles: 90.00 90.00 90.00
Fractional positions:
Li 0.0000 0.0000 0.0000
Pt 0.0000 0.5000 0.5000
Pt 0.5000 0.0000 0.5000
W 0.5000 0.5000 0.0000

Calculated values
DOS at the Fermi energy (states/eV/cell): 4.127
Total moment (Bohr magnetons per cell): 0.4
Total DFT energy (no corrections) (eV for the cell shown): -29.7
Symmetry: No. 123


# 5
An optimized crystal structure of NiSbRh, computed with PBEsol.

abc: 3.0814 3.6480 7.8839
angles: 90.00 90.00 90.00
Fractional positions:
Ni 0.0000 0.0000 0.0000
Ni 0.5000 0.5000 0.5000
Sb 0.0000 0.0000 0.3310
Sb 0.5000 0.5000 0.8310
Rh 0.0000 0.0000 0.6623
Rh 0.5000 0.5000 0.1623

Calculated values
DOS at the Fermi energy (states/eV/cell): 7.029
Total moment (Bohr magnetons per cell): 0.0
Symmetry: No. 44
E_form (uncorrected) (eV per atom): -0.12


# 6
An optimized crystal structure of Ce2CuSi3, computed with PBEsol.

abc: 4.0601 4.0601 7.8824
angles: 90.00 90.00 120.00
Fractional positions:
Ce 0.0000 0.0000 0.2484
Ce 0.0000 0.0000 0.7516
Cu 0.6667 0.3333 0.5000
Si 0.3333 0.6667 0.0000
Si 0.3333 0.6667 0.5000
Si 0.6667 0.3333 0.0000

Calculated values
DOS at the Fermi energy (states/eV/cell): 5.274
Total moment (Bohr magnetons per cell): 0.0
Symmetry: No. 187
E_form (uncorrected) (eV per atom): -0.67


# 7
An optimized crystal structure of Pt, computed with PBEsol.

abc: 3.3503 3.3503 2.6992
angles: 90.00 90.00 90.00
Fractional positions:
Pt 0.0000 0.0000 0.0000
Pt 0.5000 0.5000 0.5000

Calculated values
DOS at the Fermi energy (states/eV/cell): 2.109
Total moment (Bohr magnetons per cell): 0.0
Total DFT energy (no corrections) (eV for the cell shown): -13.9
Symmetry: No. 139


# 8
An optimized crystal structure of Zn2SiAu, computed with PBEsol.

abc: 8.3685 3.6765 4.1031
angles: 90.00 103.89 90.00
Fractional positions:
Zn 0.2477 0.0000 0.2555
Zn 0.2523 0.5000 0.7445
Zn 0.7477 0.5000 0.2555
Zn 0.7523 0.0000 0.7445
Si 0.0000 0.0000 0.5000
Si 0.5000 0.5000 0.5000
Au 0.0000 0.5000 0.0000
Au 0.5000 0.0000 0.0000

Calculated values
DOS at the Fermi energy (states/eV/cell): 2.038
Total moment (Bohr magnetons per cell): 0.0
Symmetry: No. 12
E_form (uncorrected) (eV per atom): 0.03


# 9
An optimized crystal structure of NiAg2SbS, computed with PBEsol.

abc: 5.0421 5.0421 5.1506
angles: 90.00 90.00 90.00
Fractional positions:
Ni 0.0000 0.0000 0.0000
Ag 0.0000 0.5000 0.5000
Ag 0.5000 0.0000 0.5000
Sb 0.5000 0.5000 0.5000
S 0.5000 0.5000 0.0000

Calculated values
DOS at the Fermi energy (states/eV/cell): 9.015
Total moment (Bohr magnetons per cell): 1.2
Symmetry: No. 123
E_form (uncorrected) (eV per atom): 1.20


# 10
An optimized crystal structure of MnAs2PBr, computed with PBEsol.

abc: 4.7612 4.7612 4.9090
angles: 90.00 90.00 90.00
Fractional positions:
Mn 0.0000 0.0000 0.0000
As 0.0000 0.5000 0.5000
As 0.5000 0.0000 0.5000
P 0.5000 0.5000 0.5000
Br 0.5000 0.5000 0.0000

Calculated values
DOS at the Fermi energy (states/eV/cell): 4.018
Total moment (Bohr magnetons per cell): 4.3
Symmetry: No. 123
E_form (uncorrected) (eV per atom): 0.83


# 11
An optimized crystal structure of ZrMoC2, computed with PBEsol.

abc: 3.1643 3.1643 15.5702
angles: 90.00 90.00 120.00
Fractional positions:
Zr 0.0000 0.0000 0.0000
Zr 0.3333 0.6667 0.6667
Zr 0.6667 0.3333 0.3333
Mo 0.0000 0.0000 0.5000
Mo 0.3333 0.6667 0.1667
Mo 0.6667 0.3333 0.8333
C 0.0000 0.0000 0.2446
C 0.0000 0.0000 0.7554
C 0.3333 0.6667 0.4221
C 0.3333 0.6667 0.9113
C 0.6667 0.3333 0.0887
C 0.6667 0.3333 0.5779

Calculated values
DOS at the Fermi energy (states/eV/cell): 3.901
Total moment (Bohr magnetons per cell): 0.0
Total DFT energy (no corrections) (eV for the cell shown): -126.3
Symmetry: No. 166


# 12
An optimized crystal structure of LiSn2S3O12, computed with PBEsol.

abc: 8.3406 8.3406 8.3406
angles: 66.81 66.81 66.81
Fractional positions:
Li 0.0000 0.0000 0.0000
Li 0.5000 0.5000 0.5000
Sn 0.1660 0.1660 0.1660
Sn 0.3340 0.3340 0.3340
Sn 0.6660 0.6660 0.6660
Sn 0.8340 0.8340 0.8340
S 0.0934 0.7500 0.4066
S 0.2500 0.5934 0.9066
S 0.4066 0.0934 0.7500
S 0.5934 0.9066 0.2500
S 0.7500 0.4066 0.0934
S 0.9066 0.2500 0.5934
O 0.0585 0.3123 0.5707
O 0.0707 0.8123 0.5585
O 0.0978 0.7667 0.8920
O 0.1080 0.9022 0.2333
O 0.1877 0.4415 0.9293
O 0.2333 0.1080 0.9022
O 0.2667 0.5978 0.3920
O 0.3123 0.5707 0.0585
O 0.3920 0.2667 0.5978
O 0.4022 0.6080 0.7333
O 0.4293 0.9415 0.6877
O 0.4415 0.9293 0.1877
O 0.5585 0.0707 0.8123
O 0.5707 0.0585 0.3123
O 0.5978 0.3920 0.2667
O 0.6080 0.7333 0.4022
O 0.6877 0.4293 0.9415
O 0.7333 0.4022 0.6080
O 0.7667 0.8920 0.0978
O 0.8123 0.5585 0.0707
O 0.8920 0.0978 0.7667
O 0.9022 0.2333 0.1080
O 0.9293 0.1877 0.4415
O 0.9415 0.6877 0.4293

Calculated values
DOS at the Fermi energy (states/eV/cell): 4.602
Total moment (Bohr magnetons per cell): 0.0
Symmetry: No. 167
E_form (uncorrected) (eV per atom): -1.45